1.
Density functional theory data (PBEsol) for a relaxed structure of Zr3BiC.

Calculated values
Magnetization   0.341 μB per atom
DFT formation energy   2.48 eV/atom

Lattice parameters (Å, degrees): 5.3287 5.3287 5.3287 90.00 90.00 90.00
With the nearest neighbours (Å) after each atom.
Space group Pm-3m (No. 221)
One atom of each set of equivalent atoms:
Zr  0.0000  0.0000  0.5000 [3 per cell]  2 Bi 2.66
Bi  0.0000  0.0000  0.0000 [1 per cell]  6 Zr 2.66
C  0.5000  0.5000  0.5000 [1 per cell]  12 Zr 3.77

2.
Density functional theory data (PBEsol) for a relaxed structure of Zr2BiC.

Calculated values
Magnetization   0.000 μB per atom
DFT formation energy   -0.25 eV/atom

Lattice parameters (Å, degrees): 6.8091 6.8091 6.9328 90.00 90.00 90.00
With the nearest neighbours (Å) after each atom.
Space group I-42d (No. 122)
One atom of each set of equivalent atoms:
Zr  0.1480  0.7500  0.1250 [8 per cell]  2 C 2.16
Bi  0.0000  0.0000  0.5000 [4 per cell]  8 Zr 3.06-3.27
C  0.0000  0.0000  0.0000 [4 per cell]  4 Zr 2.16

3.
Density functional theory data (PBEsol) for a relaxed structure of Ca2Bi.

Calculated values
Magnetization   0.000 μB per atom
DFT formation energy   -0.80 eV/atom

Lattice parameters (Å, degrees): 4.7884 4.7884 16.8418 90.00 90.00 90.00
With the nearest neighbours (Å) after each atom.
Space group I4/mmm (No. 139)
One atom of each set of equivalent atoms:
Ca  0.0000  0.0000  0.1741 [4 per cell]  5 Bi 3.19-3.44
Ca  0.0000  0.5000  0.0000 [4 per cell]  4 Bi 3.32, 4 Ca 3.39
Bi  0.0000  0.0000  0.3635 [4 per cell]  9 Ca 3.19-3.44

4.
Density functional theory data (PBEsol) for a relaxed structure of CaBi3.

Calculated values
Magnetization   0.000 μB per atom
DFT formation energy   -0.44 eV/atom

Lattice parameters (Å, degrees): 4.9194 4.9194 4.9194 90.00 90.00 90.00
With the nearest neighbours (Å) after each atom.
Space group Pm-3m (No. 221)
One atom of each set of equivalent atoms:
Ca  0.0000  0.0000  0.0000 [1 per cell]  12 Bi 3.48
Bi  0.0000  0.5000  0.5000 [3 per cell]  8 Bi 3.48, 4 Ca 3.48

5.
Density functional theory data (PBEsol) for a relaxed structure of Ca3CdBi.

Calculated values
Magnetization   0.000 μB per atom
DFT formation energy   -0.09 eV/atom

Lattice parameters (Å, degrees): 5.6786 5.6786 5.6786 90.00 90.00 90.00
With the nearest neighbours (Å) after each atom.
Space group Pm-3m (No. 221)
One atom of each set of equivalent atoms:
Ca  0.0000  0.0000  0.5000 [3 per cell]  2 Cd 2.84
Cd  0.0000  0.0000  0.0000 [1 per cell]  6 Ca 2.84
Bi  0.5000  0.5000  0.5000 [1 per cell]  12 Ca 4.02

6.
Density functional theory data (PBEsol) for a relaxed structure of CaCd2Bi2.

Calculated values
Magnetization   0.000 μB per atom
DFT formation energy   -0.25 eV/atom

Lattice parameters (Å, degrees): 4.3494 4.3494 15.1692 90.00 90.00 90.00
With the nearest neighbours (Å) after each atom.
Space group I4/mmm (No. 139)
One atom of each set of equivalent atoms:
Ca  0.0000  0.0000  0.0000 [2 per cell]  8 Bi 3.49
Cd  0.0000  0.5000  0.2500 [4 per cell]  4 Bi 3.05, 4 Cd 3.08
Bi  0.0000  0.0000  0.3907 [4 per cell]  4 Cd 3.05, 1 Bi 3.32

7.
Density functional theory data (PBEsol) for a relaxed structure of CaCd2Bi2.

Calculated values
Magnetization   0.000 μB per atom
DFT formation energy   -0.18 eV/atom

Lattice parameters (Å, degrees): 4.9777 4.9777 12.0775 90.00 90.00 90.00
With the nearest neighbours (Å) after each atom.
Space group I4/mmm (No. 139)
One atom of each set of equivalent atoms:
Ca  0.0000  0.0000  0.0000 [2 per cell]  8 Cd 3.76, 8 Bi 3.91
Cd  0.0000  0.0000  0.3913 [4 per cell]  1 Cd 2.63
Bi  0.0000  0.5000  0.2500 [4 per cell]  4 Cd 3.02

8.
Density functional theory data (PBEsol) for a relaxed structure of CaCdBi2.

Calculated values
Magnetization   0.000 μB per atom
DFT formation energy   -0.33 eV/atom

Lattice parameters (Å, degrees): 8.4972 8.4972 6.5711 90.00 90.00 90.00
With the nearest neighbours (Å) after each atom.
Space group I-42d (No. 122)
One atom of each set of equivalent atoms:
Ca  0.0000  0.0000  0.0000 [4 per cell]  2 Cd 3.29, 4 Bi 3.32
Cd  0.0000  0.0000  0.5000 [4 per cell]  4 Bi 2.92
Bi  0.2151  0.7500  0.6250 [8 per cell]  2 Cd 2.92

9.
Density functional theory data (PBEsol) for a relaxed structure of CaCdBi2P.

Calculated values
Magnetization   0.000 μB per atom
DFT formation energy   0.01 eV/atom

Lattice parameters (Å, degrees): 5.4224 5.4224 5.2435 90.00 90.00 90.00
With the nearest neighbours (Å) after each atom.
Space group P4/mmm (No. 123)
One atom of each set of equivalent atoms:
Ca  0.0000  0.0000  0.0000 [1 per cell]  2 P 2.62
Cd  0.5000  0.5000  0.0000 [1 per cell]  8 Bi 3.77, 4 Ca 3.83
Bi  0.0000  0.5000  0.5000 [2 per cell]  2 P 2.71
P  0.0000  0.0000  0.5000 [1 per cell]  2 Ca 2.62, 4 Bi 2.71

10.
Density functional theory data (PBEsol) for a relaxed structure of CaBiICl2.

Calculated values
Formation energy without anion corrections   -0.43 eV per formula unit
Magnetization   0.244 μB per atom

Lattice parameters (Å, degrees): 5.2845 5.2845 6.3923 90.00 90.00 90.00
With the nearest neighbours (Å) after each atom.
Space group P4/mmm (No. 123)
One atom of each set of equivalent atoms:
Ca  0.0000  0.0000  0.0000 [1 per cell]  2 I 3.20
Bi  0.5000  0.5000  0.0000 [1 per cell]  4 Ca 3.74, 8 Cl 4.15
I  0.0000  0.0000  0.5000 [1 per cell]  4 Cl 2.64
Cl  0.0000  0.5000  0.5000 [2 per cell]  2 I 2.64

11.
Density functional theory data (PBEsol) for a relaxed structure of CaCoBi3.

Calculated values
Magnetization   0.231 μB per atom
DFT formation energy   0.02 eV/atom

Lattice parameters (Å, degrees): 5.1659 5.1659 5.1659 90.00 90.00 90.00
With the nearest neighbours (Å) after each atom.
Space group Pm-3m (No. 221)
One atom of each set of equivalent atoms:
Ca  0.0000  0.0000  0.0000 [1 per cell]  12 Bi 3.65
Co  0.5000  0.5000  0.5000 [1 per cell]  6 Bi 2.58
Bi  0.0000  0.5000  0.5000 [3 per cell]  2 Co 2.58

12.
Density functional theory data (PBEsol) for a relaxed structure of CaCrBi2.

Calculated values
Magnetization   0.937 μB per atom
DFT formation energy   0.01 eV/atom

Lattice parameters (Å, degrees): 8.1835 8.1835 6.5108 90.00 90.00 90.00
With the nearest neighbours (Å) after each atom.
Space group I-42d (No. 122)
One atom of each set of equivalent atoms:
Ca  0.0000  0.0000  0.0000 [4 per cell]  8 Bi 3.24-3.62, 2 Cr 3.26
Cr  0.0000  0.0000  0.5000 [4 per cell]  4 Bi 2.79
Bi  0.2101  0.7500  0.6250 [8 per cell]  2 Cr 2.79